(1)
Below is crystalline CuNClF2 at its relaxed geometry, with properties calculated at the PBE level.

```
CuNClF2
1.0
4.675 0.000 0.000
0.000 4.675 0.000
0.000 0.000 3.247
N F Cl Cu
1 2 1 1
Cartesian
0.000 0.000 1.624 N
2.338 0.000 0.000 F
0.000 2.338 0.000 F
0.000 0.000 0.000 Cl
2.338 2.338 1.624 Cu
```

Calculated values
The energy above the lowest structure with this stoichiometry is 462 meV/atom. Its space group is P4/mmm (123). The density of states at the Fermi level is 8.56 states/eV/f.u. The formation energy (no corrections) is 0.724 eV/atom.

=====

(2)
Below is crystalline NaCu2ClF2 at its relaxed geometry, with properties calculated at the PBE level.

```
NaCu2ClF2
1.0
-1.330 0.910 4.730
5.570 -1.829 1.918
0.515 6.874 -1.177
Cu Na Cl F
4 2 2 4
Cartesian
4.294 4.972 2.918 Cu
3.642 5.418 5.234 Cu
0.461 0.983 2.553 Cu
1.113 0.537 0.236 Cu
0.534 4.318 3.279 Na
4.221 1.637 2.192 Na
3.290 0.117 4.862 Cl
1.464 5.838 0.609 Cl
0.509 2.563 0.970 F
4.246 3.392 4.501 F
1.157 2.312 3.840 F
3.598 3.643 1.631 F
```

Calculated values
Its space group is P2_1/m (11). The formation energy (no corrections) is -1.257 eV/atom.

=====

(3)
Below is crystalline NbCu3Cl2F6 at its relaxed geometry, with properties calculated at the PBE level.

```
NbCu3Cl2F6
1.0
5.065 0.000 -0.568
0.000 6.730 0.000
-1.544 -3.365 6.479
F Cu Nb Cl
6 3 1 2
Cartesian
0.087 1.976 5.184 F
3.434 1.389 0.727 F
0.087 -1.976 5.184 F
2.403 3.365 4.848 F
3.434 5.342 0.727 F
1.118 0.000 1.063 F
0.000 3.365 0.000 Cu
1.761 -1.683 2.956 Cu
1.761 1.683 2.956 Cu
2.533 0.000 -0.284 Nb
0.703 3.365 2.064 Cl
2.818 0.000 3.847 Cl
```

Calculated values
Its space group is C2/m (12). The formation energy (no corrections) is -1.801 eV/atom.

=====

- What is the formation energy (no corrections) in the second record?
  -1.257 eV/atom

=====

- Among the records above, which one has the lowest formation energy (no corrections)?
  NbCu3Cl2F6

=====

- What is the formation energy (no corrections) in the second record?
  -1.257 eV/atom

=====

- Which value of formation energy (no corrections) does entry 1 give?
  0.724 eV/atom